[1]
Density functional theory data (PBE-GGA) for a relaxed structure of NaMo2Os.

Values from the calculation:
Final energy (Ry per atom): -0.571
Space-group type: Fm-3m
Formation energy (eV per atom): 0.788

a = 4.462 Å, b = 4.462 Å, c = 4.462 Å
α = 60.00°, β = 60.00°, γ = 60.00°
Atoms (fractional coordinates):
Na 0.000 0.000 0.000
Mo 0.250 0.250 0.250
Mo 0.750 0.750 0.750
Os 0.500 0.500 0.500



[2]
Density functional theory data (PBE-GGA) for a relaxed structure of Na2MoOs.

Values from the calculation:
Final energy (Ry per atom): -0.319
Space-group type: Fm-3m
Formation energy (eV per atom): 1.832

a = 4.687 Å, b = 4.687 Å, c = 4.687 Å
α = 60.00°, β = 60.00°, γ = 60.00°
Atoms (fractional coordinates):
Na 0.250 0.250 0.250
Na 0.750 0.750 0.750
Mo 0.000 0.000 0.000
Os 0.500 0.500 0.500



[3]
Density functional theory data (PBE-GGA) for a relaxed structure of Na2Mo2Os.

Values from the calculation:
Final energy (Ry per atom): -0.390
Space-group type: I4/mmm
Formation energy (eV per atom): 1.794

a = 6.728 Å, b = 6.728 Å, c = 6.728 Å
α = 147.78°, β = 147.78°, γ = 46.21°
Atoms (fractional coordinates):
Na 0.084 0.084 0.000
Na 0.916 0.916 0.000
Mo 0.250 0.750 0.500
Mo 0.750 0.250 0.500
Os 0.500 0.500 0.000



[4]
Density functional theory data (PBE-GGA) for a relaxed structure of NaMo3Os.

Values from the calculation:
Final energy (Ry per atom): -0.547
Space-group type: Pm-3m
Formation energy (eV per atom): 1.572

a = 4.819 Å, b = 4.819 Å, c = 4.819 Å
α = 90.00°, β = 90.00°, γ = 90.00°
Atoms (fractional coordinates):
Na 0.000 0.000 0.000
Mo 0.000 0.500 0.500
Mo 0.500 0.000 0.500
Mo 0.500 0.500 0.000
Os 0.500 0.500 0.500



[5]
Density functional theory data (PBE-GGA) for a relaxed structure of RbNa2MoOs.

Values from the calculation:
Final energy (Ry per atom): -0.187
Space-group type: P4/mmm
Formation energy (eV per atom): 2.585

a = 4.706 Å, b = 4.706 Å, c = 5.213 Å
α = 90.00°, β = 90.00°, γ = 90.00°
Atoms (fractional coordinates):
Rb 0.000 0.000 0.000
Na 0.000 0.500 0.000
Na 0.500 0.000 0.000
Mo 0.000 0.000 0.500
Os 0.500 0.500 0.500



[6]
Density functional theory data (PBE-GGA) for a relaxed structure of NaY2MoOs.

Values from the calculation:
Final energy (Ry per atom): -0.482
Space-group type: P4/mmm
Formation energy (eV per atom): 0.705

a = 5.449 Å, b = 5.449 Å, c = 4.720 Å
α = 90.00°, β = 90.00°, γ = 90.00°
Atoms (fractional coordinates):
Na 0.000 0.000 0.000
Y 0.000 0.500 0.500
Y 0.500 0.000 0.500
Mo 0.500 0.500 0.500
Os 0.500 0.500 0.000



Spin magnetization, record by record: 0.000 0.573 0.000 0.252 0.313 0.051 μB/atom